# 1
A PBEsol-optimized structure of Na2CaGe6O14, computed with SCAN.

Calculated values
Energy relative to the elements, uncorrected = -4467.4 kJ/mol of formula units
SG = No. 5

Cell: 8.124 8.124 4.873 Å, 90.17 90.17 60.69°
Element x y z (fractional)
Na 0.212 0.212 0.498
Na 0.788 0.788 0.502
Ca 0.369 0.631 0.500
Ge 0.029 0.971 0.000
Ge 0.123 0.550 0.980
Ge 0.450 0.877 0.020
Ge 0.541 0.214 0.995
Ge 0.786 0.459 0.005
Ge 0.791 0.209 0.500
O 0.001 0.131 0.738
O 0.097 0.757 0.811
O 0.140 0.554 0.325
O 0.243 0.903 0.189
O 0.332 0.376 0.810
O 0.446 0.860 0.675
O 0.473 0.065 0.170
O 0.573 0.341 0.266
O 0.624 0.668 0.190
O 0.659 0.427 0.734
O 0.701 0.083 0.734
O 0.869 0.999 0.262
O 0.917 0.299 0.266
O 0.935 0.527 0.830

---

# 2
A PBEsol-optimized structure of Na2CaSn2Ge3O12, computed with SCAN.

Calculated values
Energy relative to the elements, uncorrected = -4010.4 kJ/mol of formula units
SG = No. 142

Cell: 10.805 10.805 10.805 Å, 109.63 109.63 109.15°
Element x y z (fractional)
Na 0.122 0.250 0.372
Na 0.250 0.378 0.128
Na 0.250 0.878 0.628
Na 0.378 0.750 0.128
Na 0.622 0.250 0.872
Na 0.750 0.122 0.372
Na 0.750 0.622 0.872
Na 0.878 0.750 0.628
Ca 0.125 0.375 0.750
Ca 0.375 0.125 0.250
Ca 0.625 0.875 0.750
Ca 0.875 0.625 0.250
Sn 0.000 0.000 0.000
Sn 0.000 0.000 0.500
Sn 0.000 0.500 0.000
Sn 0.000 0.500 0.500
Sn 0.500 0.000 0.000
Sn 0.500 0.000 0.500
Sn 0.500 0.500 0.000
Sn 0.500 0.500 0.500
Ge 0.125 0.875 0.250
Ge 0.126 0.750 0.876
Ge 0.250 0.126 0.876
Ge 0.250 0.626 0.376
Ge 0.374 0.250 0.624
Ge 0.375 0.625 0.750
Ge 0.625 0.375 0.250
Ge 0.626 0.750 0.376
Ge 0.750 0.374 0.624
Ge 0.750 0.874 0.124
Ge 0.874 0.250 0.124
Ge 0.875 0.125 0.750
O 0.014 0.203 0.114
O 0.017 0.313 0.895
O 0.082 0.878 0.395
O 0.089 0.703 0.690
O 0.099 0.619 0.412
O 0.101 0.986 0.690
O 0.119 0.599 0.912
O 0.122 0.017 0.204
O 0.187 0.206 0.588
O 0.187 0.483 0.605
O 0.203 0.589 0.190
O 0.206 0.119 0.019
O 0.294 0.313 0.912
O 0.297 0.486 0.386
O 0.313 0.901 0.019
O 0.313 0.918 0.296
O 0.378 0.582 0.895
O 0.381 0.294 0.481
O 0.399 0.089 0.886
O 0.401 0.813 0.519
O 0.411 0.101 0.614
O 0.418 0.813 0.796
O 0.483 0.378 0.296
O 0.486 0.601 0.190
O 0.514 0.399 0.810
O 0.517 0.622 0.704
O 0.582 0.187 0.204
O 0.589 0.899 0.386
O 0.599 0.187 0.481
O 0.601 0.911 0.114
O 0.619 0.706 0.519
O 0.622 0.418 0.105
O 0.687 0.082 0.704
O 0.687 0.099 0.981
O 0.703 0.514 0.614
O 0.706 0.687 0.088
O 0.794 0.881 0.981
O 0.797 0.411 0.810
O 0.813 0.517 0.395
O 0.813 0.794 0.412
O 0.878 0.983 0.796
O 0.881 0.401 0.088
O 0.899 0.014 0.310
O 0.901 0.381 0.588
O 0.911 0.297 0.310
O 0.918 0.122 0.605
O 0.983 0.687 0.105
O 0.986 0.797 0.886

---

# 3
A PBEsol-optimized structure of CaNb2Ge2, computed with SCAN.

Calculated values
SG = No. 139
DFT total energy = -114.71 eV for the cell shown

Cell: 5.476 5.476 5.476 Å, 126.21 126.21 79.55°
Element x y z (fractional)
Ca 0.000 0.000 0.000
Nb 0.350 0.350 0.000
Nb 0.650 0.650 0.000
Ge 0.250 0.750 0.500
Ge 0.750 0.250 0.500

---

# 4
A PBEsol-optimized structure of Ca5Ni17Ge8, computed with SCAN.

Calculated values
SG = No. 38
DFT total energy = -489.96 eV for the cell shown

Cell: 3.970 13.225 13.225 Å, 140.95 90.00 90.00°
Element x y z (fractional)
Ca 0.000 0.000 0.000
Ca 0.000 0.572 0.960
Ca 0.000 0.960 0.572
Ca 0.500 0.390 0.601
Ca 0.500 0.601 0.390
Ni 0.000 0.092 0.869
Ni 0.000 0.224 0.627
Ni 0.000 0.255 0.353
Ni 0.000 0.296 0.869
Ni 0.000 0.353 0.255
Ni 0.000 0.627 0.224
Ni 0.000 0.666 0.793
Ni 0.000 0.793 0.666
Ni 0.000 0.869 0.092
Ni 0.000 0.869 0.296
Ni 0.500 0.056 0.453
Ni 0.500 0.062 0.232
Ni 0.500 0.161 0.830
Ni 0.500 0.232 0.062
Ni 0.500 0.453 0.056
Ni 0.500 0.709 0.709
Ni 0.500 0.830 0.161
Ge 0.000 0.098 0.374
Ge 0.000 0.374 0.098
Ge 0.000 0.539 0.539
Ge 0.500 0.264 0.744
Ge 0.500 0.265 0.265
Ge 0.500 0.744 0.264
Ge 0.500 0.770 0.939
Ge 0.500 0.939 0.770

---

# 5
A PBEsol-optimized structure of Ca2Ni2Ge, computed with SCAN.

Calculated values
SG = No. 139
DFT total energy = -71.31 eV for the cell shown

Cell: 5.134 5.134 5.134 Å, 116.68 116.68 95.85°
Element x y z (fractional)
Ca 0.250 0.750 0.500
Ca 0.750 0.250 0.500
Ni 0.169 0.169 0.000
Ni 0.831 0.831 0.000
Ge 0.500 0.500 0.000

---

# 6
A PBEsol-optimized structure of CaNiGe2O6, computed with SCAN.

Calculated values
Energy relative to the elements, uncorrected = -2017.7 kJ/mol of formula units
SG = No. 15

Cell: 6.710 6.710 5.383 Å, 101.46 101.46 82.18°
Element x y z (fractional)
Ca 0.196 0.804 0.750
Ca 0.804 0.196 0.250
Ni 0.413 0.587 0.250
Ni 0.587 0.413 0.750
Ge 0.116 0.316 0.779
Ge 0.316 0.116 0.279
Ge 0.684 0.884 0.721
Ge 0.884 0.684 0.221
O 0.108 0.170 0.021
O 0.131 0.593 0.342
O 0.170 0.108 0.521
O 0.305 0.484 0.870
O 0.407 0.869 0.158
O 0.484 0.305 0.370
O 0.516 0.695 0.630
O 0.593 0.131 0.842
O 0.695 0.516 0.130
O 0.830 0.892 0.479
O 0.869 0.407 0.658
O 0.892 0.830 0.979

---

# 7
A PBEsol-optimized structure of Ca2ScNiGe, computed with SCAN.

Calculated values
SG = No. 123
DFT total energy = -68.93 eV for the cell shown

Cell: 5.078 5.078 4.828 Å, 90.00 90.00 90.00°
Element x y z (fractional)
Ca 0.000 0.500 0.000
Ca 0.500 0.000 0.000
Sc 0.000 0.000 0.500
Ni 0.000 0.000 0.000
Ge 0.500 0.500 0.500

---

# 8
A PBEsol-optimized structure of CaGeO3, computed with SCAN.

Calculated values
Energy relative to the elements, uncorrected = -1183.8 kJ/mol of formula units
SG = No. 148

Cell: 5.848 5.848 5.848 Å, 52.36 52.36 52.36°
Element x y z (fractional)
Ca 0.135 0.135 0.135
Ca 0.865 0.865 0.865
Ge 0.341 0.341 0.341
Ge 0.659 0.659 0.659
O 0.062 0.470 0.684
O 0.316 0.938 0.530
O 0.470 0.684 0.061
O 0.530 0.316 0.938
O 0.684 0.061 0.470
O 0.939 0.530 0.316

---

# 9
A PBEsol-optimized structure of CaGeO3, computed with SCAN.

Calculated values
Energy relative to the elements, uncorrected = -1223.9 kJ/mol of formula units
SG = No. 88

Cell: 10.790 10.790 10.790 Å, 109.15 109.15 110.11°
Element x y z (fractional)
Ca 0.000 0.000 0.000
Ca 0.127 0.877 0.250
Ca 0.128 0.756 0.879
Ca 0.251 0.372 0.128
Ca 0.256 0.877 0.628
Ca 0.377 0.249 0.621
Ca 0.377 0.627 0.750
Ca 0.500 0.000 0.000
Ca 0.500 0.000 0.500
Ca 0.500 0.500 0.500
Ca 0.623 0.373 0.250
Ca 0.623 0.751 0.379
Ca 0.744 0.123 0.372
Ca 0.749 0.628 0.872
Ca 0.872 0.244 0.121
Ca 0.873 0.123 0.750
Ge 0.000 0.000 0.500
Ge 0.000 0.500 0.000
Ge 0.000 0.500 0.500
Ge 0.117 0.258 0.388
Ge 0.125 0.375 0.750
Ge 0.229 0.617 0.359
Ge 0.242 0.130 0.859
Ge 0.370 0.729 0.112
Ge 0.375 0.125 0.250
Ge 0.500 0.500 0.000
Ge 0.625 0.875 0.750
Ge 0.630 0.271 0.888
Ge 0.758 0.870 0.141
Ge 0.771 0.383 0.641
Ge 0.875 0.625 0.250
Ge 0.883 0.742 0.612
O 0.008 0.819 0.395
O 0.031 0.697 0.614
O 0.076 0.387 0.895
O 0.083 0.469 0.165
O 0.089 0.222 0.209
O 0.098 0.095 0.414
O 0.104 0.141 0.903
O 0.113 0.508 0.689
O 0.182 0.684 0.086
O 0.184 0.598 0.503
O 0.197 0.083 0.665
O 0.199 0.965 0.099
O 0.263 0.800 0.403
O 0.278 0.987 0.867
O 0.300 0.396 0.537
O 0.319 0.424 0.811
O 0.359 0.763 0.963
O 0.366 0.100 0.401
O 0.380 0.589 0.367
O 0.400 0.301 0.266
O 0.405 0.318 0.003
O 0.417 0.583 0.114
O 0.465 0.866 0.766
O 0.487 0.120 0.709
O 0.513 0.880 0.291
O 0.535 0.134 0.234
O 0.583 0.417 0.886
O 0.595 0.682 0.997
O 0.600 0.699 0.734
O 0.620 0.411 0.633
O 0.634 0.900 0.599
O 0.641 0.237 0.037
O 0.681 0.576 0.189
O 0.700 0.604 0.463
O 0.722 0.013 0.133
O 0.737 0.200 0.597
O 0.801 0.035 0.901
O 0.803 0.917 0.335
O 0.816 0.402 0.497
O 0.818 0.316 0.914
O 0.887 0.492 0.311
O 0.896 0.859 0.097
O 0.902 0.905 0.586
O 0.911 0.778 0.791
O 0.917 0.531 0.835
O 0.924 0.613 0.105
O 0.969 0.303 0.386
O 0.992 0.181 0.605

---

# 10
A PBEsol-optimized structure of CaGeO3, computed with SCAN.

Calculated values
Energy relative to the elements, uncorrected = -1213.2 kJ/mol of formula units
SG = No. 2

Cell: 8.411 9.506 10.740 Å, 74.17 89.65 77.44°
Element x y z (fractional)
Ca 0.076 0.147 0.169
Ca 0.077 0.159 0.508
Ca 0.246 0.500 0.492
Ca 0.262 0.496 0.993
Ca 0.404 0.853 0.990
Ca 0.421 0.851 0.340
Ca 0.579 0.149 0.660
Ca 0.596 0.147 0.010
Ca 0.738 0.504 0.007
Ca 0.754 0.500 0.508
Ca 0.923 0.841 0.492
Ca 0.924 0.853 0.831
Ge 0.001 0.503 0.247
Ge 0.101 0.802 0.134
Ge 0.248 0.200 0.788
Ge 0.258 0.803 0.632
Ge 0.393 0.207 0.284
Ge 0.496 0.501 0.747
Ge 0.504 0.499 0.253
Ge 0.607 0.793 0.716
Ge 0.742 0.197 0.368
Ge 0.752 0.800 0.212
Ge 0.899 0.198 0.866
Ge 0.999 0.497 0.753
O 0.008 0.590 0.592
O 0.066 0.403 0.138
O 0.071 0.916 0.648
O 0.104 0.092 0.862
O 0.119 0.636 0.266
O 0.137 0.758 0.988
O 0.187 0.372 0.834
O 0.231 0.910 0.163
O 0.247 0.757 0.487
O 0.249 0.241 0.621
O 0.258 0.098 0.353
O 0.311 0.635 0.764
O 0.373 0.376 0.333
O 0.384 0.246 0.117
O 0.412 0.904 0.643
O 0.435 0.094 0.861
O 0.452 0.593 0.092
O 0.484 0.405 0.635
O 0.516 0.595 0.365
O 0.548 0.407 0.908
O 0.565 0.906 0.139
O 0.588 0.096 0.357
O 0.616 0.754 0.883
O 0.627 0.624 0.667
O 0.689 0.365 0.236
O 0.742 0.902 0.647
O 0.751 0.759 0.379
O 0.753 0.243 0.513
O 0.769 0.090 0.837
O 0.813 0.628 0.166
O 0.863 0.242 0.012
O 0.881 0.364 0.734
O 0.896 0.908 0.138
O 0.929 0.084 0.352
O 0.934 0.597 0.862
O 0.992 0.410 0.408

---

# 11
A PBEsol-optimized structure of CaGeO3, computed with SCAN.

Calculated values
Energy relative to the elements, uncorrected = -1192.4 kJ/mol of formula units
SG = No. 62

Cell: 5.304 7.458 5.263 Å, 90.00 90.00 90.00°
Element x y z (fractional)
Ca 0.040 0.250 0.009
Ca 0.460 0.750 0.509
Ca 0.540 0.250 0.491
Ca 0.960 0.750 0.991
Ge 0.000 0.000 0.500
Ge 0.000 0.500 0.500
Ge 0.500 0.000 0.000
Ge 0.500 0.500 0.000
O 0.014 0.750 0.428
O 0.212 0.538 0.789
O 0.212 0.962 0.789
O 0.288 0.038 0.289
O 0.288 0.462 0.289
O 0.486 0.250 0.928
O 0.514 0.750 0.072
O 0.712 0.538 0.711
O 0.712 0.962 0.711
O 0.788 0.038 0.211
O 0.788 0.462 0.211
O 0.986 0.250 0.572

---

> Which formula does entry 5 have?

Ca2Ni2Ge

---

> Number 9 is which compound?

CaGeO3